# 1
# YNiAg3 (PBE-GGA, optimized geometry)
data_YNiAg3
_chemical_formula_sum 'Y1 Ni1 Ag3'
_symmetry_space_group_name_H-M 'P m -3 m'
_symmetry_Int_Tables_number 221
_symmetry_space_group_name_Hall '-P 4 2 3'
_cell_length_a 5.389
_cell_length_b 5.389
_cell_length_c 5.389
_cell_angle_alpha 90.00
_cell_angle_beta 90.00
_cell_angle_gamma 90.00
loop_
_atom_site_label
_atom_site_type_symbol
_atom_site_fract_x
_atom_site_fract_y
_atom_site_fract_z
Y1 Y 0.000 0.000 0.000
Ni1 Ni 0.500 0.500 0.500
Ag1 Ag 0.000 0.000 0.500
# **Relative energy among the computed polymorphs**: 1206 meV/atom
# **Energy**: -2.672 eV per atom
# **ΔE_f**: 1488.3 meV per atom
# **Size of the total moment**: 0.1 μB/f.u.

# 2
# YNiAg2 (PBE-GGA, optimized geometry)
data_YNiAg2
_chemical_formula_sum 'Y1 Ni1 Ag2'
_symmetry_space_group_name_H-M 'P 4 m m'
_symmetry_Int_Tables_number 99
_cell_length_a 3.494
_cell_length_b 3.494
_cell_length_c 6.234
_cell_angle_alpha 90.00
_cell_angle_beta 90.00
_cell_angle_gamma 90.00
loop_
_symmetry_equiv_pos_as_xyz
'x,y,z'
'-y,x,z'
'-x,-y,z'
'y,-x,z'
'-x,y,z'
'y,x,z'
'x,-y,z'
'-y,-x,z'
loop_
_atom_site_label
_atom_site_type_symbol
_atom_site_fract_x
_atom_site_fract_y
_atom_site_fract_z
Y1 Y 0.000 0.000 0.000
Ni1 Ni 0.500 0.500 0.759
Ag1 Ag 0.000 0.000 0.534
Ag2 Ag 0.500 0.500 0.307
# **Energy**: -4.607 eV per atom
# **ΔE_f**: -120.4 meV per atom
# **Size of the total moment**: 0.0 μB/f.u.

# 3
# YNi2Ag2 (PBE-GGA, optimized geometry)
data_YNi2Ag2
_chemical_formula_sum 'Y2 Ni4 Ag4'
_symmetry_space_group_name_H-M 'I 4/m m m'
_symmetry_Int_Tables_number 139
_symmetry_space_group_name_Hall '-I 4 2'
_cell_length_a 3.936
_cell_length_b 3.936
_cell_length_c 11.537
_cell_angle_alpha 90.00
_cell_angle_beta 90.00
_cell_angle_gamma 90.00
loop_
_atom_site_label
_atom_site_type_symbol
_atom_site_fract_x
_atom_site_fract_y
_atom_site_fract_z
Y1 Y 0.000 0.000 0.000
Ni1 Ni 0.000 0.000 0.403
Ag1 Ag 0.000 0.500 0.250
# **Relative energy among the computed polymorphs**: 0 meV/atom
# **Energy**: -4.868 eV per atom
# **ΔE_f**: -122.1 meV per atom
# **Size of the total moment**: 0.0 μB/f.u.

# 4
# Y3Ni8Ag (PBE-GGA, optimized geometry)
data_Y3Ni8Ag
_chemical_formula_sum 'Y9 Ni24 Ag3'
_symmetry_space_group_name_H-M 'R 3 m'
_symmetry_Int_Tables_number 160
_symmetry_space_group_name_Hall 'R 3 -2"'
_cell_length_a 5.0184
_cell_length_b 5.0184
_cell_length_c 24.6567
_cell_angle_alpha 90.00
_cell_angle_beta 90.00
_cell_angle_gamma 120.00
loop_
_atom_site_label
_atom_site_type_symbol
_atom_site_fract_x
_atom_site_fract_y
_atom_site_fract_z
Y1 Y 0.0000 0.0000 0.0000
Y2 Y 0.0000 0.0000 0.1297
Y3 Y 0.0000 0.0000 0.5150
Ni1 Ni 0.0000 0.0000 0.3189
Ni2 Ni 0.0000 0.0000 0.8189
Ni3 Ni 0.1671 0.3343 0.4023
Ni4 Ni 0.1686 0.3371 0.9021
Ag1 Ag 0.0000 0.0000 0.6352
# **Energy**: -6.075 eV per atom
# **ΔE_f**: -367.6 meV per atom
# **Size of the total moment**: 0.0 μB/f.u.

Copy entry 3 word for word.
# YNi2Ag2 (PBE-GGA, optimized geometry)
data_YNi2Ag2
_chemical_formula_sum 'Y2 Ni4 Ag4'
_symmetry_space_group_name_H-M 'I 4/m m m'
_symmetry_Int_Tables_number 139
_symmetry_space_group_name_Hall '-I 4 2'
_cell_length_a 3.936
_cell_length_b 3.936
_cell_length_c 11.537
_cell_angle_alpha 90.00
_cell_angle_beta 90.00
_cell_angle_gamma 90.00
loop_
_atom_site_label
_atom_site_type_symbol
_atom_site_fract_x
_atom_site_fract_y
_atom_site_fract_z
Y1 Y 0.000 0.000 0.000
Ni1 Ni 0.000 0.000 0.403
Ag1 Ag 0.000 0.500 0.250
# **Relative energy among the computed polymorphs**: 0 meV/atom
# **Energy**: -4.868 eV per atom
# **ΔE_f**: -122.1 meV per atom
# **Size of the total moment**: 0.0 μB/f.u.

The lowest ΔE_f belongs to which entry?
Y3Ni8Ag

ΔE_f of number 2 (YNiAg2)?
-120.4 meV per atom

Look up the energy of the first one.
-2.672 eV per atom